Entry one
A relaxed structure of NaErFeSe3. Source: OQMD via LeMat-Bulk, functional PBE-GGA.

Lattice parameters (Å, degrees): 8.173 3.970 9.630 90.00 104.58 90.00
Fractional coordinates of all 12 atoms:
Na  0.221  0.250  0.260
Na  0.779  0.750  0.740
Er  0.325  0.750  0.853
Er  0.675  0.250  0.147
Fe  0.070  0.250  0.585
Fe  0.930  0.750  0.415
Se  0.073  0.250  0.838
Se  0.235  0.750  0.537
Se  0.432  0.750  0.155
Se  0.568  0.250  0.845
Se  0.765  0.250  0.463
Se  0.927  0.750  0.162

Results
- Crystal system: monoclinic
- Space group: P2_1/m, No. 11


Entry two
A relaxed structure of NaErFeSe3. Source: OQMD via LeMat-Bulk, functional PBE-GGA.

Lattice parameters (Å, degrees): 7.059 7.059 10.686 90.00 90.00 146.89
Fractional coordinates of all 12 atoms:
Na  0.243  0.757  0.750
Na  0.757  0.243  0.250
Er  0.000  0.000  0.000
Er  0.000  0.000  0.500
Fe  0.472  0.528  0.250
Fe  0.528  0.472  0.750
Se  0.080  0.920  0.250
Se  0.364  0.636  0.070
Se  0.364  0.636  0.430
Se  0.636  0.364  0.570
Se  0.636  0.364  0.930
Se  0.920  0.080  0.750

Results
- Crystal system: orthorhombic
- Space group: Cmcm, No. 63


Top of the stability list: entry one, leading by 31 meV/atom.


Entry one
A relaxed structure of NaErFeTe3. Source: OQMD via LeMat-Bulk, functional PBE-GGA.

Lattice parameters (Å, degrees): 11.365 4.263 14.480 90.00 90.00 90.00
Fractional coordinates of all 24 atoms:
Na  0.227  0.250  0.010
Na  0.273  0.750  0.510
Na  0.727  0.250  0.490
Na  0.773  0.750  0.990
Er  0.015  0.750  0.745
Er  0.485  0.250  0.245
Er  0.515  0.750  0.755
Er  0.985  0.250  0.255
Fe  0.239  0.750  0.220
Fe  0.261  0.250  0.720
Fe  0.739  0.750  0.280
Fe  0.761  0.250  0.780
Te  0.052  0.750  0.114
Te  0.083  0.250  0.606
Te  0.238  0.250  0.332
Te  0.262  0.750  0.832
Te  0.417  0.750  0.106
Te  0.448  0.250  0.614
Te  0.552  0.750  0.386
Te  0.583  0.250  0.894
Te  0.738  0.250  0.168
Te  0.762  0.750  0.668
Te  0.917  0.750  0.394
Te  0.948  0.250  0.886

Results
- Crystal system: orthorhombic
- Space group: Pnma, No. 62


Entry two
A relaxed structure of NaErFeTe3. Source: OQMD via LeMat-Bulk, functional PBE-GGA.

Lattice parameters (Å, degrees): 8.812 4.188 10.044 90.00 105.01 90.00
Fractional coordinates of all 12 atoms:
Na  0.208  0.250  0.255
Na  0.792  0.750  0.745
Er  0.328  0.750  0.849
Er  0.672  0.250  0.151
Fe  0.066  0.250  0.578
Fe  0.934  0.750  0.422
Te  0.078  0.250  0.844
Te  0.240  0.750  0.531
Te  0.428  0.750  0.162
Te  0.572  0.250  0.838
Te  0.760  0.250  0.469
Te  0.922  0.750  0.156

Results
- Crystal system: monoclinic
- Space group: P2_1/m, No. 11


Top of the stability list: entry two, leading by 36 meV/atom.


Entry one
A relaxed structure of Er3Tm3FeSb2. Source: OQMD via LeMat-Bulk, functional PBE-GGA.

Lattice parameters (Å, degrees): 8.102 8.102 4.090 90.00 90.00 120.00
Fractional coordinates of all 9 atoms:
Er  0.000  0.394  0.000
Er  0.394  0.000  0.000
Er  0.606  0.606  0.000
Tm  0.000  0.767  0.500
Tm  0.233  0.233  0.500
Tm  0.767  0.000  0.500
Fe  0.000  0.000  0.000
Sb  0.333  0.667  0.500
Sb  0.667  0.333  0.500

Results
- Crystal system: hexagonal
- Space group: P-62m, No. 189


Entry two
A relaxed structure of Er3Tm3FeSb2. Source: OQMD via LeMat-Bulk, functional PBE-GGA.

Lattice parameters (Å, degrees): 8.105 8.105 4.085 90.00 90.00 120.00
Fractional coordinates of all 9 atoms:
Er  0.000  0.766  0.000
Er  0.234  0.234  0.000
Er  0.766  0.000  0.000
Tm  0.000  0.395  0.500
Tm  0.395  0.000  0.500
Tm  0.605  0.605  0.500
Fe  0.000  0.000  0.500
Sb  0.333  0.667  0.000
Sb  0.667  0.333  0.000

Results
- Crystal system: hexagonal
- Space group: P-62m, No. 189


Top of the stability list: entry one, leading by 19 meV/atom.


Entry one
A relaxed structure of Er3Zr3FeSb2. Source: OQMD via LeMat-Bulk, functional PBE-GGA.

Lattice parameters (Å, degrees): 8.016 8.016 3.756 90.00 90.00 120.00
Fractional coordinates of all 9 atoms:
Er  0.000  0.243  0.000
Er  0.243  0.000  0.000
Er  0.757  0.757  0.000
Zr  0.000  0.600  0.500
Zr  0.400  0.400  0.500
Zr  0.600  0.000  0.500
Fe  0.000  0.000  0.500
Sb  0.333  0.667  0.000
Sb  0.667  0.333  0.000

Results
- Crystal system: hexagonal
- Space group: P-62m, No. 189


Entry two
A relaxed structure of Er3Zr3FeSb2. Source: OQMD via LeMat-Bulk, functional PBE-GGA.

Lattice parameters (Å, degrees): 7.868 7.868 4.020 90.00 90.00 120.00
Fractional coordinates of all 9 atoms:
Er  0.000  0.602  0.000
Er  0.398  0.398  0.000
Er  0.602  0.000  0.000
Zr  0.000  0.227  0.500
Zr  0.227  0.000  0.500
Zr  0.773  0.773  0.500
Fe  0.000  0.000  0.000
Sb  0.333  0.667  0.500
Sb  0.667  0.333  0.500

Results
- Crystal system: hexagonal
- Space group: P-62m, No. 189


Top of the stability list: entry two, leading by 149 meV/atom.


Entry one
A relaxed structure of Er3FeTe5. Source: OQMD via LeMat-Bulk, functional PBE-GGA.

Lattice parameters (Å, degrees): 8.331 8.331 4.291 90.00 90.00 120.00
Fractional coordinates of all 9 atoms:
Er  0.000  0.260  0.000
Er  0.260  0.000  0.000
Er  0.740  0.740  0.000
Fe  0.000  0.000  0.500
Te  0.000  0.703  0.500
Te  0.297  0.297  0.500
Te  0.333  0.667  0.000
Te  0.667  0.333  0.000
Te  0.703  0.000  0.500

Results
- Crystal system: hexagonal
- Space group: P-62m, No. 189


Entry two
A relaxed structure of Er3FeTe5. Source: OQMD via LeMat-Bulk, functional PBE-GGA.

Lattice parameters (Å, degrees): 8.590 8.590 3.697 90.00 90.00 120.00
Fractional coordinates of all 9 atoms:
Er  0.000  0.649  0.000
Er  0.351  0.351  0.000
Er  0.649  0.000  0.000
Fe  0.000  0.000  0.000
Te  0.000  0.221  0.500
Te  0.221  0.000  0.500
Te  0.333  0.667  0.500
Te  0.667  0.333  0.500
Te  0.779  0.779  0.500

Results
- Crystal system: hexagonal
- Space group: P-62m, No. 189


Top of the stability list: entry one, leading by 73 meV/atom.


Entry one
A relaxed structure of ErTlFeTe3. Source: OQMD via LeMat-Bulk, functional PBE-GGA.

Lattice parameters (Å, degrees): 8.161 8.161 11.291 90.00 90.00 149.47
Fractional coordinates of all 12 atoms:
Er  0.000  0.000  0.000
Er  0.000  0.000  0.500
Tl  0.244  0.756  0.750
Tl  0.756  0.244  0.250
Fe  0.470  0.530  0.250
Fe  0.530  0.470  0.750
Te  0.073  0.927  0.250
Te  0.370  0.630  0.065
Te  0.370  0.630  0.435
Te  0.630  0.370  0.565
Te  0.630  0.370  0.935
Te  0.927  0.073  0.750

Results
- Crystal system: orthorhombic
- Space group: Cmcm, No. 63


Entry two
A relaxed structure of ErTlFeTe3. Source: OQMD via LeMat-Bulk, functional PBE-GGA.

Lattice parameters (Å, degrees): 12.345 4.458 13.063 90.00 90.00 90.00
Fractional coordinates of all 24 atoms:
Er  0.021  0.250  0.184
Er  0.479  0.750  0.684
Er  0.521  0.250  0.316
Er  0.979  0.750  0.816
Tl  0.185  0.250  0.493
Tl  0.315  0.750  0.993
Tl  0.685  0.250  0.007
Tl  0.815  0.750  0.507
Fe  0.243  0.750  0.301
Fe  0.257  0.250  0.801
Fe  0.743  0.750  0.199
Fe  0.757  0.250  0.699
Te  0.036  0.750  0.346
Te  0.099  0.250  0.938
Te  0.225  0.750  0.697
Te  0.275  0.250  0.197
Te  0.401  0.750  0.438
Te  0.464  0.250  0.846
Te  0.536  0.750  0.154
Te  0.599  0.250  0.562
Te  0.725  0.750  0.803
Te  0.775  0.250  0.303
Te  0.901  0.750  0.062
Te  0.964  0.250  0.654

Results
- Crystal system: orthorhombic
- Space group: Pnma, No. 62


Top of the stability list: entry one, leading by 74 meV/atom.


Entry one
A relaxed structure of Er3Tm3FeTe2. Source: OQMD via LeMat-Bulk, functional PBE-GGA.

Lattice parameters (Å, degrees): 8.204 8.204 3.947 90.00 90.00 120.00
Fractional coordinates of all 9 atoms:
Er  0.000  0.391  0.000
Er  0.391  0.000  0.000
Er  0.609  0.609  0.000
Tm  0.000  0.765  0.500
Tm  0.235  0.235  0.500
Tm  0.765  0.000  0.500
Fe  0.000  0.000  0.000
Te  0.333  0.667  0.500
Te  0.667  0.333  0.500

Results
- Crystal system: hexagonal
- Space group: P-62m, No. 189


Entry two
A relaxed structure of Er3Tm3FeTe2. Source: OQMD via LeMat-Bulk, functional PBE-GGA.

Lattice parameters (Å, degrees): 8.207 8.207 3.941 90.00 90.00 120.00
Fractional coordinates of all 9 atoms:
Er  0.000  0.765  0.000
Er  0.235  0.235  0.000
Er  0.765  0.000  0.000
Tm  0.000  0.391  0.500
Tm  0.391  0.000  0.500
Tm  0.609  0.609  0.500
Fe  0.000  0.000  0.500
Te  0.333  0.667  0.000
Te  0.667  0.333  0.000

Results
- Crystal system: hexagonal
- Space group: P-62m, No. 189


Top of the stability list: entry one, leading by 18 meV/atom.


Entry one
A relaxed structure of Gd2Er3Ga3. Source: OQMD via LeMat-Bulk, functional PBE-GGA.

Lattice parameters (Å, degrees): 6.573 4.801 6.741 90.00 107.70 90.00
Fractional coordinates of all 8 atoms:
Gd  0.000  0.000  0.000
Gd  0.328  0.500  0.790
Er  0.021  0.000  0.510
Er  0.513  0.000  0.490
Er  0.721  0.500  0.225
Ga  0.208  0.500  0.309
Ga  0.514  0.000  0.011
Ga  0.825  0.500  0.695

Results
- Crystal system: monoclinic
- Space group: Pm, No. 6


Entry two
A relaxed structure of Gd2Er3Ga3. Source: OQMD via LeMat-Bulk, functional PBE-GGA.

Lattice parameters (Å, degrees): 6.915 6.915 4.913 90.00 90.00 120.00
Fractional coordinates of all 8 atoms:
Gd  0.000  0.000  0.000
Gd  0.333  0.667  0.500
Er  0.355  0.177  0.500
Er  0.823  0.177  0.500
Er  0.823  0.645  0.500
Ga  0.519  0.038  0.000
Ga  0.519  0.481  0.000
Ga  0.962  0.481  0.000

Results
- Crystal system: hexagonal
- Space group: P-6m2, No. 187


Top of the stability list: entry one, leading by 126 meV/atom.


Entry one
A relaxed structure of GdErGa2Ir4. Source: OQMD via LeMat-Bulk, functional PBE-GGA.

Lattice parameters (Å, degrees): 4.583 4.583 6.500 90.00 90.00 90.00
Fractional coordinates of all 8 atoms:
Gd  0.000  0.000  0.000
Er  0.500  0.500  0.500
Ga  0.000  0.000  0.500
Ga  0.500  0.500  0.000
Ir  0.000  0.500  0.254
Ir  0.000  0.500  0.746
Ir  0.500  0.000  0.254
Ir  0.500  0.000  0.746

Results
- Crystal system: tetragonal
- Space group: P4/mmm, No. 123


Entry two
A relaxed structure of GdErGa2Ir4. Source: OQMD via LeMat-Bulk, functional PBE-GGA.

Lattice parameters (Å, degrees): 4.330 4.330 9.060 90.00 90.00 120.00
Fractional coordinates of all 8 atoms:
Gd  0.000  0.000  0.000
Er  0.333  0.667  0.500
Ga  0.667  0.333  0.254
Ga  0.667  0.333  0.746
Ir  0.000  0.000  0.339
Ir  0.000  0.000  0.661
Ir  0.333  0.667  0.175
Ir  0.333  0.667  0.825

Results
- Crystal system: hexagonal
- Space group: P-6m2, No. 187


Top of the stability list: entry two, leading by 23 meV/atom.


Entry one
A relaxed structure of GdErGa2Pt4. Source: OQMD via LeMat-Bulk, functional PBE-GGA.

Lattice parameters (Å, degrees): 4.699 4.699 6.664 90.00 90.00 90.00
Fractional coordinates of all 8 atoms:
Gd  0.000  0.000  0.000
Er  0.500  0.500  0.500
Ga  0.000  0.000  0.500
Ga  0.500  0.500  0.000
Pt  0.000  0.500  0.255
Pt  0.000  0.500  0.745
Pt  0.500  0.000  0.255
Pt  0.500  0.000  0.745

Results
- Crystal system: tetragonal
- Space group: P4/mmm, No. 123


Entry two
A relaxed structure of GdErGa2Pt4. Source: OQMD via LeMat-Bulk, functional PBE-GGA.

Lattice parameters (Å, degrees): 4.389 4.389 9.112 90.00 90.00 120.00
Fractional coordinates of all 8 atoms:
Gd  0.000  0.000  0.000
Er  0.333  0.667  0.500
Ga  0.667  0.333  0.251
Ga  0.667  0.333  0.749
Pt  0.000  0.000  0.338
Pt  0.000  0.000  0.662
Pt  0.333  0.667  0.168
Pt  0.333  0.667  0.832

Results
- Crystal system: hexagonal
- Space group: P-6m2, No. 187


Top of the stability list: entry two, leading by 176 meV/atom.


Entry one
A relaxed structure of Er3Ga3Ni2Ge. Source: OQMD via LeMat-Bulk, functional PBE-GGA.

Lattice parameters (Å, degrees): 7.760 7.760 3.308 90.00 90.00 120.00
Fractional coordinates of all 9 atoms:
Er  0.000  0.306  0.000
Er  0.306  0.000  0.000
Er  0.694  0.694  0.000
Ga  0.000  0.622  0.500
Ga  0.378  0.378  0.500
Ga  0.622  0.000  0.500
Ni  0.333  0.667  0.000
Ni  0.667  0.333  0.000
Ge  0.000  0.000  0.500

Results
- Crystal system: hexagonal
- Space group: P-62m, No. 189


Entry two
A relaxed structure of Er3Ga3Ni2Ge. Source: OQMD via LeMat-Bulk, functional PBE-GGA.

Lattice parameters (Å, degrees): 7.206 7.206 3.726 90.00 90.00 120.00
Fractional coordinates of all 9 atoms:
Er  0.000  0.601  0.000
Er  0.399  0.399  0.000
Er  0.601  0.000  0.000
Ga  0.000  0.278  0.500
Ga  0.278  0.000  0.500
Ga  0.722  0.722  0.500
Ni  0.333  0.667  0.500
Ni  0.667  0.333  0.500
Ge  0.000  0.000  0.000

Results
- Crystal system: hexagonal
- Space group: P-62m, No. 189


Top of the stability list: entry two, leading by 344 meV/atom.